Entry from Alexandria: Zr2OsRu2 after structural relaxation (PBE).

Results
**Uncorrected energy**: -95.3 eV for the cell shown
**Space-group type**: P4/mbm (127)
**Calculated formation energy**: -0.78 eV/f.u.
**Size of the total moment**: 0.0 μB per cell

```
Zr2OsRu2
1.0
6.584 0.000 0.000
0.000 6.584 0.000
0.000 0.000 4.158
Zr Os Ru
4 2 4
Direct
0.181 0.319 0.000 Zr
0.319 0.819 0.000 Zr
0.681 0.181 0.000 Zr
0.819 0.681 0.000 Zr
0.000 0.000 0.500 Os
0.500 0.500 0.500 Os
0.133 0.633 0.500 Ru
0.367 0.133 0.500 Ru
0.633 0.867 0.500 Ru
0.867 0.367 0.500 Ru
```